Computed, not measured: a PBEsol-optimized structure of InCo2Re at the meta-GGA SCAN level of DFT.

POSCAR file:
```
InCo2Re
1.0
2.710 0.000 0.000
0.000 3.505 0.000
0.000 0.000 5.761
In Co Re
1 2 1
Direct
0.000 0.000 0.000
0.000 0.000 0.524
0.500 0.500 0.744
0.500 0.500 0.330
```

Values from the calculation:
symmetry: Pmm2 (25)
energy of formation: 1.74 eV/f.u.
crystal system: orthorhombic
size of the total moment: 0.528 μB/atom

***

Computed, not measured: a PBEsol-optimized structure of InCo2Re at the meta-GGA SCAN level of DFT.

POSCAR file:
```
InCo2Re
1.0
4.429 -1.359 0.000
4.429 1.359 0.000
-0.964 0.000 4.426
In Co Re
1 2 1
Direct
0.000 0.000 0.000
0.244 0.244 0.798
0.510 0.510 0.506
0.771 0.771 0.346
```

Values from the calculation:
symmetry: Cm (8)
energy of formation: 1.56 eV/f.u.
crystal system: monoclinic
size of the total moment: 0.224 μB/atom

***

Computed, not measured: a PBEsol-optimized structure of In2CoRe at the meta-GGA SCAN level of DFT.

POSCAR file:
```
In2CoRe
1.0
2.929 0.000 0.000
0.000 3.361 0.000
0.000 0.000 6.386
In Co Re
2 1 1
Direct
0.000 0.000 0.231
0.000 0.000 0.769
0.500 0.500 0.000
0.500 0.500 0.500
```

Values from the calculation:
symmetry: Pmmm (47)
energy of formation: 2.28 eV/f.u.
crystal system: orthorhombic
size of the total moment: 0.320 μB/atom

***

Which value of size of the total moment does entry 2 give?
0.224 μB/atom